(1)
The following is a meta-GGA SCAN calculation of a crystal of LiMgCo2 relaxed with PBEsol, from the Alexandria database.

Unit cell a=2.6003 b=2.6003 c=25.8056 alpha=90.00 beta=90.00 gamma=120.00
Space group R-3m (No. 166, hexagonal axes)
One atom of each set of equivalent atoms:
1 Li 0.0000 0.0000 0.0000 [3 per cell]
2 Mg 0.0000 0.0000 0.5000 [3 per cell]
3 Co 0.0000 0.0000 0.2504 [6 per cell]

Results
formation enthalpy at 0 K = 0.313 eV/atom
calculated volume = 50 Å³/f.u.
uncorrected energy = -122.16 eV for the cell shown
Fermi-level density of states = 2.6 states/eV/f.u.
magnetization = 3.298 μB/f.u.

(2)
The following is a meta-GGA SCAN calculation of a crystal of KBa2Re relaxed with PBEsol, from the Alexandria database.

Unit cell a=7.883 b=7.883 c=7.883 alpha=90.00 beta=90.00 gamma=90.00
Space group Fm-3m (No. 225)
One atom of each set of equivalent atoms:
1 K 0.000 0.000 0.000 [4 per cell]
2 Ba 0.250 0.250 0.250 [8 per cell]
3 Re 0.000 0.000 0.500 [4 per cell]

Results
formation enthalpy at 0 K = 1.143 eV/atom
calculated volume = 122 Å³/f.u.
uncorrected energy = -615.81 eV for the cell shown
Fermi-level density of states = 5.4 states/eV/f.u.
relative energy among the computed polymorphs = 0.433 eV per formula unit
magnetization = 1.079 μB/f.u.

(3)
The following is a meta-GGA SCAN calculation of a crystal of Tb2Mg5Ag relaxed with PBEsol, from the Alexandria database.

Unit cell a=5.0334 b=5.0334 c=24.5201 alpha=90.00 beta=90.00 gamma=120.00
Space group R-3m (No. 166, hexagonal axes)
One atom of each set of equivalent atoms:
1 Tb 0.0000 0.0000 0.2462 [6 per cell]
2 Mg 0.0000 0.0000 0.1195 [6 per cell]
3 Mg 0.0000 0.0000 0.3713 [6 per cell]
4 Mg 0.0000 0.0000 0.5000 [3 per cell]
5 Ag 0.0000 0.0000 0.0000 [3 per cell]

Results
formation enthalpy at 0 K = -0.100 eV/atom
calculated volume = 179 Å³/f.u.
uncorrected energy = -451.68 eV for the cell shown
Fermi-level density of states = 2.9 states/eV/f.u.
magnetization = 0.000 μB/f.u.

(4)
The following is a meta-GGA SCAN calculation of a crystal of LaIO2F relaxed with PBEsol, from the Alexandria database.

Unit cell a=4.553 b=4.553 c=3.962 alpha=90.00 beta=90.00 gamma=90.00
Space group P4/mmm (No. 123)
One atom of each set of equivalent atoms:
1 La 0.000 0.000 0.000 [1 per cell]
2 I 0.500 0.500 0.000 [1 per cell]
3 O 0.000 0.500 0.500 [2 per cell]
4 F 0.500 0.500 0.500 [1 per cell]

Results
calculated volume = 82 Å³/f.u.
uncorrected energy = -100.63 eV for the cell shown
Fermi-level density of states = 1.2 states/eV/f.u.
magnetization = 1.110 μB/f.u.